1.
MgZnCuBi GGA-PBE optimized geometry; energy relative to the lowest polymorph listed for this composition = 17.3 meV per atom; total energy = -2.50 eV per atom
1.0
-2.878 -3.711 -1.167
-4.196 0.813 -2.267
-0.534 -1.283 -4.635
Bi Cu Mg Zn
1 1 1 1
direct
0.000 0.000 0.000
0.750 0.750 0.750
0.250 0.250 0.250
0.500 0.500 0.500


2.
CuBi5Mo3 GGA-PBE optimized geometry; total energy = -5.82 eV per atom; size of the total moment = 0.01 μB/cell
1.0
5.626 0.000 0.000
-2.813 4.872 0.000
0.000 0.000 8.649
Bi Cu Mo
5 1 3
direct
0.667 0.333 0.208
0.333 0.667 0.208
0.000 0.000 0.500
0.667 0.333 0.792
0.333 0.667 0.792
0.000 0.000 0.000
0.500 0.000 0.500
0.000 0.500 0.500
0.500 0.500 0.500